# 1
Compound: Cs2K4AgAu2
Source: Alexandria
Functional: PBE-GGA
Structure: optimized geometry

Cell and atoms, written as POSCAR:
```
Cs2K4AgAu2
1.0
6.650 0.000 0.000
-3.115 7.599 0.000
-2.394 -1.082 9.895
Cs K Ag Au
2 4 1 2
Direct
0.228 0.299 0.187
0.772 0.701 0.813
0.045 0.291 0.579
0.478 0.871 0.189
0.522 0.129 0.811
0.955 0.709 0.421
0.500 0.000 0.500
0.459 0.653 0.479
0.541 0.347 0.521
```

E_form (eV per atom): -0.11
SG: No. 2

---

# 2
Compound: BaInW3
Source: Alexandria
Functional: PBE-GGA
Structure: optimized geometry

Cell and atoms, written as POSCAR:
```
BaInW3
1.0
5.102 0.000 0.000
0.000 5.102 0.000
0.000 0.000 5.102
Ba In W
1 1 3
Direct
0.000 0.000 0.000
0.500 0.500 0.500
0.000 0.500 0.500
0.500 0.000 0.500
0.500 0.500 0.000
```

E_form (eV per atom): 2.59
E above lowest polymorph (meV/atom): 0
SG: No. 221

---

# 3
Compound: Li2CuRh
Source: Alexandria
Functional: PBE-GGA
Structure: optimized geometry

Cell and atoms, written as POSCAR:
```
Li2CuRh
1.0
4.117 0.000 0.000
0.000 4.117 0.000
0.000 0.000 6.140
Li Cu Rh
4 2 2
Direct
0.000 0.000 0.000
0.000 0.500 0.250
0.500 0.000 0.750
0.500 0.500 0.500
0.000 0.500 0.750
0.500 0.000 0.250
0.000 0.000 0.500
0.500 0.500 0.000
```

E_form (eV per atom): -0.08
E above lowest polymorph (meV/atom): 53
SG: No. 119

---

# 4
Compound: Sm4Er7Tm
Source: Alexandria
Functional: PBE-GGA
Structure: optimized geometry

Cell and atoms, written as POSCAR:
```
Sm4Er7Tm
1.0
6.018 -2.926 0.000
6.018 2.926 0.000
-6.000 0.000 11.197
Sm Er Tm
4 7 1
Direct
0.055 0.055 0.335
0.365 0.365 0.223
0.635 0.635 0.777
0.945 0.945 0.665
0.000 0.000 0.000
0.212 0.212 0.924
0.262 0.262 0.692
0.362 0.362 0.494
0.638 0.638 0.506
0.738 0.738 0.308
0.788 0.788 0.076
0.500 0.500 0.000
```

E_form (eV per atom): 0.29
E above lowest polymorph (meV/atom): 196
SG: No. 12

---

- Among the records above, which one has the lowest E_form?
  Cs2K4AgAu2